# 1
The following is a DFT calculation (GGA-PBE) of crystalline Th4GeBi2C at its relaxed geometry.

Summary:
Volume (Å³/cell): 229
DFT total energy (eV per atom): -6.9266
Size of the total moment (μB per cell): 0.000

Lattice parameters (Å, degrees): 4.140 7.362 7.864 107.35 90.00 90.00
Element x y z (fractional)
1 Th 0.500 0.260 0.206
2 Th 0.500 0.740 0.794
3 Th 0.000 0.291 0.807
4 Th 0.000 0.709 0.193
5 Ge 0.000 0.000 0.000
6 Bi 0.500 0.000 0.500
7 Bi 0.000 0.500 0.500
8 C 0.500 0.500 0.000



# 2
The following is a DFT calculation (GGA-PBE) of crystalline PSe2 at its relaxed geometry.

Summary:
Volume (Å³/cell): 165
Size of the total moment (μB per cell): 0.001
Raw formation energy (eV/atom): 0.381

Lattice parameters (Å, degrees): 13.693 13.693 3.483 90.00 90.00 165.35
Element x y z (fractional)
1 P 0.749 0.251 0.750
2 P 0.251 0.749 0.250
3 Se 0.106 0.894 0.750
4 Se 0.423 0.577 0.750
5 Se 0.577 0.423 0.250
6 Se 0.894 0.106 0.250



# 3
The following is a DFT calculation (GGA-PBE) of crystalline Nb3CoS at its relaxed geometry.

Summary:
Volume (Å³/cell): 98
Size of the total moment (μB per cell): 0.000
Raw formation energy (eV/atom): 0.799

Lattice parameters (Å, degrees): 4.607 4.607 4.607 90.00 90.00 90.00
Element x y z (fractional)
1 Nb 0.000 0.500 0.000
2 Nb 0.000 0.000 0.500
3 Nb 0.500 0.000 0.000
4 Co 0.000 0.000 0.000
5 S 0.500 0.500 0.500



# 4
The following is a DFT calculation (GGA-PBE) of crystalline RbNd2Br6 at its relaxed geometry.

Summary:
Volume (Å³/cell): 384
Size of the total moment (μB per cell): 1.040
Raw formation energy (eV/atom): -1.759

Lattice parameters (Å, degrees): 8.052 7.422 7.422 120.00 90.00 90.00
Element x y z (fractional)
1 Rb 0.000 0.000 0.000
2 Nd 0.500 0.667 0.333
3 Nd 0.500 0.333 0.667
4 Br 0.717 0.640 0.640
5 Br 0.283 0.640 0.000
6 Br 0.283 0.000 0.640
7 Br 0.717 0.360 0.000
8 Br 0.283 0.360 0.360
9 Br 0.717 0.000 0.360



# 5
The following is a DFT calculation (GGA-PBE) of crystalline InReHg2 at its relaxed geometry.

Summary:
Volume (Å³/cell): 78
DFT total energy (eV per atom): -3.1734
Size of the total moment (μB per cell): 0.129

Lattice parameters (Å, degrees): 4.351 4.229 4.229 90.00 90.00 90.00
Element x y z (fractional)
1 Hg 0.000 0.000 0.000
2 Hg 0.000 0.500 0.500
3 In 0.500 0.500 0.000
4 Re 0.500 0.000 0.500



# 6
The following is a DFT calculation (GGA-PBE) of crystalline KGdTi4O12 at its relaxed geometry.

Summary:
Volume (Å³/cell): 235
Size of the total moment (μB per cell): 11.021
Raw formation energy (eV/atom): -2.433

Lattice parameters (Å, degrees): 5.486 5.486 7.799 90.00 90.00 89.94
Element x y z (fractional)
1 K 0.995 0.995 0.000
2 Gd 0.515 0.515 0.500
3 Ti 0.006 0.497 0.757
4 Ti 0.006 0.497 0.243
5 Ti 0.497 0.006 0.243
6 Ti 0.497 0.006 0.757
7 O 0.742 0.256 0.729
8 O 0.256 0.742 0.729
9 O 0.256 0.742 0.271
10 O 0.742 0.256 0.271
11 O 0.262 0.262 0.713
12 O 0.740 0.740 0.747
13 O 0.740 0.740 0.253
14 O 0.262 0.262 0.287
15 O 0.010 0.490 0.000
16 O 0.961 0.516 0.500
17 O 0.490 0.010 0.000
18 O 0.516 0.961 0.500



# 7
The following is a DFT calculation (GGA-PBE) of crystalline TlNiOs3 at its relaxed geometry.

Summary:
Volume (Å³/cell): 121
DFT total energy (eV per atom): -4.8298
Size of the total moment (μB per cell): 6.781

Lattice parameters (Å, degrees): 4.952 4.952 4.952 90.00 90.00 90.00
Element x y z (fractional)
1 Ni 0.500 0.500 0.500
2 Tl 0.000 0.000 0.000
3 Os 0.000 0.500 0.000
4 Os 0.000 0.000 0.500
5 Os 0.500 0.000 0.000